# 1
B6RuN6 | PBE | relaxed

The structure in POSCAR format:
```
B6RuN6
1.0
4.572 0.000 0.000
0.000 4.572 0.000
0.000 0.000 4.572
N B Ru
6 6 1
Cartesian
2.286 0.000 1.129
0.000 3.443 2.286
1.129 2.286 0.000
3.443 2.286 0.000
2.286 0.000 3.443
0.000 1.129 2.286
1.170 0.000 2.286
2.286 3.402 0.000
0.000 2.286 3.402
0.000 2.286 1.170
3.402 0.000 2.286
2.286 1.170 0.000
2.286 2.286 2.286
```

Results
Its total magnetic moment is 1.879 μB/f.u. The formation energy without anion corrections is -0.158 eV/atom.

# 2
BRuSN2 | PBE | relaxed

The structure in POSCAR format:
```
BRuSN2
1.0
-2.436 -1.488 -1.361
1.481 0.129 -2.791
2.980 -6.069 1.302
S B N Ru
1 1 2 1
Cartesian
1.490 -3.035 0.651
0.000 0.000 0.000
0.740 0.064 -1.396
-1.218 -0.744 -0.680
1.013 -3.714 -1.425
```

Results
The relative energy among the computed polymorphs is 0.000 eV/atom. Its total magnetic moment is 0.584 μB/f.u. The formation energy without anion corrections is 1.164 eV/atom.

# 3
BRuS2N | PBE | relaxed

The structure in POSCAR format:
```
BRuS2N
1.0
4.699 0.000 0.000
0.000 4.699 0.000
0.000 0.000 2.747
B Ru N S
1 1 1 2
Cartesian
0.000 0.000 0.000
2.350 2.350 1.374
0.000 0.000 1.374
2.350 0.000 0.000
0.000 2.350 0.000
```

Results
The relative energy among the computed polymorphs is 0.000 eV/atom. Its total magnetic moment is 0.128 μB/f.u. The formation energy without anion corrections is 0.639 eV/atom.

# 4
BRuSN2 | PBE | relaxed

The structure in POSCAR format:
```
BRuSN2
1.0
-3.082 0.418 -2.017
-0.364 -3.684 -0.207
-2.837 0.036 4.342
N S Ru B
2 1 1 1
Cartesian
-0.182 -1.842 -0.104
-1.541 0.209 -1.009
-1.418 0.018 2.171
0.000 0.000 0.000
-3.142 -1.615 1.059
```

Results
The relative energy among the computed polymorphs is 0.342 eV/atom. Its total magnetic moment is 0.401 μB/f.u. The formation energy without anion corrections is 1.506 eV/atom.

# 5
BRuS2N | PBE | relaxed

The structure in POSCAR format:
```
BRuS2N
1.0
-4.603 -1.165 -0.471
1.229 -4.546 -0.769
-0.199 -0.657 3.569
S Ru B N
2 1 1 1
Cartesian
-2.302 -0.582 -0.235
0.614 -2.273 -0.384
0.000 0.000 0.000
-1.786 -3.184 1.165
-0.099 -0.329 1.784
```

Results
The relative energy among the computed polymorphs is 0.682 eV/atom. Its total magnetic moment is 0.001 μB/f.u. The formation energy without anion corrections is 1.321 eV/atom.

# 6
BRuSeN2 | PBE | relaxed

The structure in POSCAR format:
```
BRuSeN2
1.0
-1.449 -1.619 -2.437
-2.034 -1.398 2.138
-4.457 5.230 -0.823
N B Se Ru
2 1 1 1
Cartesian
-0.725 -0.809 -1.219
-1.017 -0.699 1.069
0.000 0.000 0.000
-2.229 2.615 -0.411
-3.971 1.107 -0.561
```

Results
The relative energy among the computed polymorphs is 0.000 eV/atom. Its total magnetic moment is 0.532 μB/f.u. The formation energy without anion corrections is 1.388 eV/atom.